(1)
The following is a DFT calculation (PBE) of an optimized crystal structure of PmPrSm3Sc.

```
data_PmPrSm3Sc
_cell_length_a 5.7332
_cell_length_b 11.9047
_cell_length_c 11.5211
_cell_angle_alpha 90.00
_cell_angle_beta 90.00
_cell_angle_gamma 90.00
_space_group_name_H-M_alt 'C m c m'
_space_group_IT_number 63
_space_group_name_Hall '-C 2c 2'
loop_
_atom_site_label
_atom_site_type_symbol
_atom_site_fract_x
_atom_site_fract_y
_atom_site_fract_z
Pm1 Pm 0.0000 0.0269 0.2500
Pr1 Pr 0.0000 0.5000 0.0000
Sm1 Sm 0.0000 0.1786 0.5301
Sm2 Sm 0.0000 0.3256 0.2500
Sc1 Sc 0.0000 0.3520 0.7500
```

Values from the calculation:
N(E_F) ... 1.5997 states/eV per atom
Calculated formation energy ... 0.6 eV per formula unit
Calculated total energy ... -4.91 eV per atom
Total magnetic moment ... 0.00 μB/atom

---

(2)
The following is a DFT calculation (PBE) of an optimized crystal structure of Li3Ca2Cd12Ag.

```
data_Li3Ca2Cd12Ag
_cell_length_a 10.1680
_cell_length_b 10.1680
_cell_length_c 14.2811
_cell_angle_alpha 90.00
_cell_angle_beta 90.00
_cell_angle_gamma 120.00
_space_group_name_H-M_alt 'R -3 m'
_space_group_IT_number 166
_space_group_name_Hall '-R 3 2"'
loop_
_atom_site_label
_atom_site_type_symbol
_atom_site_fract_x
_atom_site_fract_y
_atom_site_fract_z
Li1 Li 0.0000 0.5000 0.0000
Ca1 Ca 0.0000 0.0000 0.2388
Cd1 Cd 0.0184 0.5092 0.2050
Cd2 Cd 0.0486 0.5243 0.5978
Ag1 Ag 0.0000 0.0000 0.5000
```

Values from the calculation:
N(E_F) ... 0.4579 states/eV per atom
Calculated formation energy ... -1.9 eV per formula unit
Calculated total energy ... -1.42 eV per atom
Total magnetic moment ... 0.00 μB/atom

---

(3)
The following is a DFT calculation (PBE) of an optimized crystal structure of FeP2.

```
data_FeP2
_cell_length_a 4.2598
_cell_length_b 4.2598
_cell_length_c 5.1512
_cell_angle_alpha 90.00
_cell_angle_beta 90.00
_cell_angle_gamma 120.00
_space_group_name_H-M_alt 'P 63/m m c'
_space_group_IT_number 194
_space_group_name_Hall '-P 6c 2c'
loop_
_atom_site_label
_atom_site_type_symbol
_atom_site_fract_x
_atom_site_fract_y
_atom_site_fract_z
Fe1 Fe 0.0000 0.0000 0.2500
P1 P 0.3333 0.6667 0.0359
```

Values from the calculation:
N(E_F) ... 0.7244 states/eV per atom
Calculated formation energy ... 1.4 eV per formula unit
Calculated total energy ... -5.97 eV per atom
Total magnetic moment ... 0.82 μB/atom

---

(4)
The following is a DFT calculation (PBE) of an optimized crystal structure of Ho8Cd2Ni.

```
data_Ho8Cd2Ni
_cell_length_a 17.4449
_cell_length_b 5.3265
_cell_length_c 6.8182
_cell_angle_alpha 90.00
_cell_angle_beta 109.37
_cell_angle_gamma 90.00
_space_group_name_H-M_alt 'C 1 2/m 1'
_space_group_IT_number 12
loop_
_space_group_symop_operation_xyz
'x,y,z'
'-x,-y,-z'
'-x,y,-z'
'x,-y,z'
'x+1/2,y+1/2,z'
'-x+1/2,-y+1/2,-z'
'-x+1/2,y+1/2,-z'
'x+1/2,-y+1/2,z'
loop_
_atom_site_label
_atom_site_type_symbol
_atom_site_fract_x
_atom_site_fract_y
_atom_site_fract_z
Ho1 Ho 0.0202 0.0000 0.2818
Ho2 Ho 0.0910 0.5000 0.9236
Ho3 Ho 0.1483 0.5000 0.4494
Ho4 Ho 0.1991 0.0000 0.7851
Cd1 Cd 0.1842 0.0000 0.2120
Ni1 Ni 0.0000 0.5000 0.5000
```

Values from the calculation:
N(E_F) ... 0.9247 states/eV per atom
Calculated formation energy ... -1.5 eV per formula unit
Calculated total energy ... -4.16 eV per atom
Total magnetic moment ... 0.00 μB/atom